Computed, not measured: a geometry-optimized Li8Fe3Ni7O20 structure at the GGA+U level of DFT.

Unit cell a=5.099 b=2.844 c=23.779 alpha=90.00 beta=93.89 gamma=90.00
Sites, in units of the cell vectors:
Li 0.000 0.000 0.000
Li 0.000 0.500 0.500
Li 0.198 0.000 0.599
Li 0.383 0.000 0.194
Li 0.400 0.500 0.697
Li 0.600 0.500 0.303
Li 0.617 0.000 0.806
Li 0.802 0.000 0.401
Fe 0.307 0.500 0.400
Fe 0.500 0.000 0.500
Fe 0.693 0.500 0.600
Ni 0.097 0.000 0.300
Ni 0.111 0.500 0.799
Ni 0.307 0.000 0.900
Ni 0.500 0.500 0.000
Ni 0.693 0.000 0.100
Ni 0.889 0.500 0.201
Ni 0.903 0.000 0.700
O 0.017 0.000 0.159
O 0.019 0.500 0.650
O 0.179 0.000 0.448
O 0.201 0.500 0.950
O 0.202 0.500 0.249
O 0.248 0.000 0.756
O 0.367 0.000 0.042
O 0.374 0.500 0.548
O 0.411 0.500 0.849
O 0.442 0.000 0.353
O 0.558 0.000 0.647
O 0.589 0.500 0.151
O 0.626 0.500 0.452
O 0.633 0.000 0.958
O 0.752 0.000 0.244
O 0.798 0.500 0.751
O 0.799 0.500 0.050
O 0.821 0.000 0.552
O 0.981 0.500 0.350
O 0.983 0.000 0.841

Results
D(E_F) ... 0.167 states/eV per atom
Size of the total moment ... 1.25 μB per formula unit
Space-group type ... No. 10

=====

Computed, not measured: a geometry-optimized LiFeNiO4 structure at the GGA+U level of DFT.

Unit cell a=5.868 b=5.868 c=5.868 alpha=122.18 beta=122.16 gamma=86.28
Sites, in units of the cell vectors:
Li 0.386 0.136 0.250
Li 0.614 0.864 0.750
Fe 0.000 0.500 0.500
Fe 0.500 0.500 0.000
Ni 0.000 0.000 0.500
Ni 0.000 0.500 0.000
O 0.200 0.726 0.474
O 0.247 0.271 0.524
O 0.247 0.723 0.976
O 0.248 0.274 0.974
O 0.752 0.726 0.026
O 0.753 0.277 0.024
O 0.753 0.729 0.476
O 0.800 0.274 0.526

Results
Size of the total moment ... 3.00 μB per formula unit
Space-group type ... No. 74

=====

no.,DFT total energy (eV for the cell shown)
1,-194.2
2,-75.8